First-principles (GGA-PBE) data for a geometry-optimized AgPtSO structure, as listed in the Open Quantum Materials Database.

Calculated values
For the calculated total energy, the calculation gives -4.43 eV/atom. The volume is 122.14 Å³ per cell. The calculation puts the energy above the most stable polymorph in this dataset at 166 meV/atom.

a b c (Å): 3.718 3.718 8.835
angles (deg): 90.00 90.00 90.00
Positions (direct):
1 S 0.750 0.750 0.691
2 Pt 0.750 0.750 0.256
3 O 0.750 0.750 0.522
4 Pt 0.250 0.250 0.744
5 O 0.250 0.250 0.478
6 Ag 0.750 0.250 0.000
7 Ag 0.250 0.750 0.000
8 S 0.250 0.250 0.309